Na5CoTeO2: optimized geometry, PBE with a Hubbard U.

```
9
Lattice="-0.311 -2.760 3.806 1.212 -3.733 -2.608 7.925 1.407 1.669" Properties=species:S:1:pos:R:3 pbc="T T T"
Na 3.962 0.704 0.834
Na 1.722 -1.047 2.299
Na 2.484 -1.533 -0.909
Na 5.891 -0.306 3.177
Na 6.653 -0.793 -0.031
Co 0.000 0.000 0.000
Te 4.413 -2.543 1.434
O 1.700 0.302 0.358
O 6.225 1.105 1.311
```

Computed properties:
Final energy (eV for the cell shown): -34.49
Space-group type: No. 123
Mass density (g/cm3): 3.034
Size of the total moment (μB/cell): 2.0